[1]
# MnCo2Se

MnCo2Se after structural relaxation (PBE, the Alexandria database).

- Spin magnetization: 5.53 μB/cell
- Energy above the lowest structure with this stoichiometry: 0.000 eV/atom
- Crystal system: tetragonal
- Energy: -26.41 eV for the cell shown
- Fermi-level density of states: 2.163 states/eV/f.u.

Lattice parameters (Å, degrees): 3.029 3.029 5.585 90.00 90.00 90.00
Fractional coordinates of all 4 atoms:
Co: 0.000 0.000 0.001
Co: 0.000 0.000 0.499
Mn: 0.500 0.500 0.250
Se: 0.500 0.500 0.750

[2]
# MnCo2Se

MnCo2Se after structural relaxation (PBE, the Alexandria database).

- Spin magnetization: 6.26 μB/cell
- Energy above the lowest structure with this stoichiometry: 0.053 eV/atom
- Crystal system: cubic
- Energy: -26.20 eV for the cell shown
- Fermi-level density of states: 2.261 states/eV/f.u.

Lattice parameters (Å, degrees): 4.169 4.169 4.169 60.00 60.00 60.00
Fractional coordinates of all 4 atoms:
Mn: 0.000 0.000 0.000
Co: 0.250 0.250 0.250
Co: 0.750 0.750 0.750
Se: 0.500 0.500 0.500

Copy entry 2 word for word.
# MnCo2Se

MnCo2Se after structural relaxation (PBE, the Alexandria database).

- Spin magnetization: 6.26 μB/cell
- Energy above the lowest structure with this stoichiometry: 0.053 eV/atom
- Crystal system: cubic
- Energy: -26.20 eV for the cell shown
- Fermi-level density of states: 2.261 states/eV/f.u.

Lattice parameters (Å, degrees): 4.169 4.169 4.169 60.00 60.00 60.00
Fractional coordinates of all 4 atoms:
Mn: 0.000 0.000 0.000
Co: 0.250 0.250 0.250
Co: 0.750 0.750 0.750
Se: 0.500 0.500 0.500